# 1
19
Lattice="-4.329 -3.513 6.182 7.605 0.564 3.338 -2.615 7.896 0.347" Properties=species:S:1:pos:R:3 comment="PdPb6S12, relaxed, DFT PBE" e_form_raw_mev_per_atom=-202 spacegroup="R-3 (148)" rho_g_cm3=5.40 energy_ev_per_atom=-4.253 pbc="T T T"
S -3.669 3.178 3.381
S 4.330 1.769 6.486
S 3.359 4.253 2.371
S -2.190 -2.719 7.102
S 2.852 7.665 2.765
S 1.067 -1.768 5.543
S -5.734 2.299 6.031
S 3.971 -1.822 7.446
S -2.698 0.693 7.496
S 6.395 2.647 3.836
S -3.310 6.769 2.421
S -0.406 6.715 4.324
Pb 2.032 0.260 7.537
Pb 3.771 1.584 3.541
Pb -1.371 4.686 2.330
Pb -1.666 -0.776 5.088
Pb 2.328 5.723 4.779
Pb -3.110 3.363 6.326
Pd 0.000 0.000 0.000

# 2
5
Lattice="-1.409 0.806 4.234 0.664 -5.206 1.212 4.273 0.839 1.262" Properties=species:S:1:pos:R:3 comment="Pd2PbSeS, relaxed, DFT PBE" e_form_raw_mev_per_atom=-23 spacegroup="P4/mmm (123)" rho_g_cm3=7.96 energy_ev_per_atom=-4.364 pbc="T T T"
Se 0.332 -2.603 0.606
Pd 2.137 0.420 0.631
Pd -0.704 0.403 2.117
Pb 1.764 -1.780 3.354
S 0.000 0.000 0.000

# 3
20
Lattice="-1.682 2.857 5.038 -7.667 -4.252 0.852 4.054 -5.555 5.504" Properties=species:S:1:pos:R:3 comment="Si2PdPbS6, relaxed, DFT PBE" e_form_raw_mev_per_atom=-422 spacegroup="C2/c (15)" rho_g_cm3=4.03 energy_ev_per_atom=-4.874 pbc="T T T"
S -3.644 -3.381 2.096
S -4.609 -7.879 6.206
S -0.312 -2.935 3.159
S -2.016 -0.258 1.807
S -4.983 -4.015 8.235
S -3.321 -1.265 4.817
S -4.975 -4.535 5.125
S -1.974 -5.685 6.576
S -0.686 0.929 5.188
S -1.650 -3.570 9.297
S -3.279 -6.692 9.586
S -0.320 -2.415 6.268
Pb -6.882 -3.672 2.590
Pb 1.587 -3.278 8.803
Pd -0.805 -4.348 5.002
Pd -4.490 -2.603 6.392
Si -2.305 -2.015 2.928
Si -3.720 -6.189 5.323
Si -1.575 -0.761 6.070
Si -2.990 -4.936 8.466

# 4
20
Lattice="8.167 -0.145 -0.202 -2.109 7.891 -0.202 -2.109 -2.696 7.419" Properties=species:S:1:pos:R:3 comment="Ta3Pd4PbS12, relaxed, DFT PBE" e_form_raw_mev_per_atom=-368 spacegroup="R32 (155)" rho_g_cm3=5.55 energy_ev_per_atom=-5.847 pbc="T T T"
S -2.090 5.704 3.508
S -1.236 1.095 2.506
S 3.773 2.971 2.174
S 0.176 3.931 3.508
S 5.186 3.021 5.181
S 6.039 3.534 0.493
S 2.588 5.986 4.509
S 1.361 2.674 -0.092
S 1.975 -1.663 6.522
S 2.267 -0.711 1.834
S 1.682 3.084 7.107
S 1.975 0.672 4.841
Pb 0.000 0.000 0.000
Pd 1.975 7.058 0.245
Pd 1.975 2.525 3.508
Pd -2.425 1.432 6.771
Pd 6.374 -0.916 3.508
Ta -2.109 3.167 3.199
Ta 3.582 3.441 -0.202
Ta 2.476 -1.558 4.018

# 5
20
Lattice="5.960 0.000 0.000 0.000 7.846 0.000 0.000 0.000 8.986" Properties=species:S:1:pos:R:3 comment="TePd6Pb2S, relaxed, DFT PBE" e_form_raw_mev_per_atom=-231 spacegroup="Pmmn (59)" rho_g_cm3=9.58 energy_ev_per_atom=-4.815 pbc="T T T"
Pd 4.517 0.008 4.493
Pd 2.980 0.902 2.290
Pd 4.458 3.511 4.493
Pd 1.502 3.511 4.493
Pd 0.000 6.944 2.203
Pd 4.423 7.838 0.000
Pd 0.000 6.944 6.782
Pd 1.478 4.335 0.000
Pd 2.980 0.902 6.696
Pd 4.482 4.335 0.000
Pd 1.537 7.838 0.000
Pd 1.443 0.008 4.493
S 2.980 1.761 4.493
S 0.000 6.085 0.000
Te 0.000 5.614 4.493
Te 2.980 2.233 0.000
Pb 0.000 2.049 6.818
Pb 2.980 5.798 6.660
Pb 0.000 2.049 2.167
Pb 2.980 5.798 2.325

# 6
12
Lattice="4.542 -0.420 -0.125 -0.415 4.543 -0.125 1.642 1.640 11.463" Properties=species:S:1:pos:R:3 comment="Tl2Pd7PbS2, relaxed, DFT PBE" e_form_raw_mev_per_atom=-178 spacegroup="C2/m (12)" rho_g_cm3=10.00 energy_ev_per_atom=-4.599 pbc="T T T"
Pd 2.064 2.061 -0.125
Pd 1.668 3.704 9.094
Pd 2.178 2.175 4.464
Pd 3.591 3.587 6.749
Pd 3.706 1.663 9.094
Pd 4.102 2.059 2.119
Pd 2.064 4.099 2.119
Tl 4.203 4.198 4.158
Tl 1.566 1.565 7.054
Pb 0.000 0.000 0.000
S 4.010 4.005 9.013
S 1.760 1.757 2.199